A plane-wave DFT calculation with PBE with a Hubbard U was carried out for a relaxed Ba2Co2PbO6 crystal.

The energy is -5.874 eV/atom.

It has space group R-3m (No. 166, hexagonal axes), with a = 6.1083 Å, b = 6.1083 Å, c = 18.9583 Å, α = 90.00°, β = 90.00° and γ = 120.00°. The distinct sites, in fractional coordinates, are Ba at (0.0000, 0.0000, 0.2066), Co at (0.0000, 0.0000, 0.4236), Pb at (0.0000, 0.0000, 0.0000) and O at (0.0017, 0.5009, 0.7609).